Here is a relaxed structure of Pm8Sm4Mg from Alexandria. Energies are from GGA-PBE.

Calculated values
crystal system	trigonal
E_form	0.51	eV/atom
symmetry	R-3m (166)
DOS at the Fermi energy	20.66	states/eV per cell

Geometry as CIF:
```
data_Pm8Sm4Mg
_chemical_formula_sum 'Pm8 Sm4 Mg1'
_cell_length_a 11.101
_cell_length_b 11.101
_cell_length_c 7.865
_cell_angle_alpha 90.00
_cell_angle_beta 134.89
_cell_angle_gamma 120.00
_symmetry_space_group_name_H-M 'P 1'
_symmetry_Int_Tables_number 1
_symmetry_space_group_name_Hall 'P 1'
loop_
_atom_site_label
_atom_site_fract_x
_atom_site_fract_y
_atom_site_fract_z
Pm1 0.512 0.756 0.268
Pm2 0.488 0.244 0.732
Pm3 0.489 0.244 0.247
Pm4 0.997 0.242 0.753
Pm5 0.511 0.756 0.753
Pm6 0.997 0.756 0.753
Pm7 0.003 0.244 0.247
Pm8 0.003 0.758 0.247
Sm1 0.000 0.000 0.000
Sm2 0.000 0.500 0.000
Sm3 0.500 0.500 0.000
Sm4 0.500 0.000 0.000
Mg1 0.000 0.500 0.500
```

=====

Here is a relaxed structure of ZrAlAgRh2 from Alexandria. Energies are from GGA-PBE.

Calculated values
crystal system	tetragonal
E_form	0.90	eV/atom
symmetry	P4/mmm (123)
DOS at the Fermi energy	3.70	states/eV per cell

Geometry as CIF:
```
data_ZrAlAgRh2
_chemical_formula_sum 'Zr1 Al1 Ag1 Rh2'
_cell_length_a 4.763
_cell_length_b 5.244
_cell_length_c 4.763
_cell_angle_alpha 90.00
_cell_angle_beta 90.00
_cell_angle_gamma 90.00
_symmetry_space_group_name_H-M 'P 1'
_symmetry_Int_Tables_number 1
_symmetry_space_group_name_Hall 'P 1'
loop_
_atom_site_label
_atom_site_fract_x
_atom_site_fract_y
_atom_site_fract_z
Rh1 0.000 0.000 0.500
Rh2 0.500 0.000 0.000
Zr1 0.000 0.000 0.000
Ag1 0.500 0.500 0.500
Al1 0.000 0.500 0.000
```

=====

Here is a relaxed structure of SrAc3Ru from Alexandria. Energies are from GGA-PBE.

Calculated values
crystal system	cubic
E_form	-0.13	eV/atom
symmetry	Pm-3m (221)
DOS at the Fermi energy	4.05	states/eV per cell

Geometry as CIF:
```
data_SrAc3Ru
_chemical_formula_sum 'Sr1 Ac3 Ru1'
_cell_length_a 5.912
_cell_length_b 5.912
_cell_length_c 5.912
_cell_angle_alpha 90.00
_cell_angle_beta 90.00
_cell_angle_gamma 90.00
_symmetry_space_group_name_H-M 'P 1'
_symmetry_Int_Tables_number 1
_symmetry_space_group_name_Hall 'P 1'
loop_
_atom_site_label
_atom_site_fract_x
_atom_site_fract_y
_atom_site_fract_z
Ru1 0.000 0.000 0.000
Ac1 0.000 0.500 0.000
Ac2 0.000 0.000 0.500
Ac3 0.500 0.000 0.000
Sr1 0.500 0.500 0.500
```

=====

Here is a relaxed structure of Pa2AsH from Alexandria. Energies are from GGA-PBE.

Calculated values
crystal system	trigonal
symmetry	R-3m (166)
energy above the most stable polymorph in this dataset	0	meV per atom
DOS at the Fermi energy	5.42	states/eV per cell

Geometry as CIF:
```
data_Pa2AsH
_chemical_formula_sum 'Pa2 As1 H1'
_cell_length_a 3.567
_cell_length_b 3.567
_cell_length_c 7.261
_cell_angle_alpha 75.78
_cell_angle_beta 75.78
_cell_angle_gamma 60.00
_symmetry_space_group_name_H-M 'P 1'
_symmetry_Int_Tables_number 1
_symmetry_space_group_name_Hall 'P 1'
loop_
_atom_site_label
_atom_site_fract_x
_atom_site_fract_y
_atom_site_fract_z
H1 0.000 0.000 0.000
As1 0.500 0.500 0.500
Pa1 0.262 0.262 0.214
Pa2 0.738 0.738 0.786
```

=====

no.,calculated density (g/cm3)
1,6.1
2,6.0
3,7.0
4,11.6